Entry 1:
First-principles (GGA-PBE) data for crystalline HgGe2Pd2 at its relaxed geometry, as listed in Alexandria via LeMat-Bulk.

As for the density: 10.363 g/cm³. The calculation puts the energy above the most stable polymorph in this dataset at 46 meV per atom. As for the calculated formation energy: -0.7 eV/f.u. The calculation puts the total energy at -20.6 eV/f.u.

The structure belongs to space group P4/mbm (No. 127); the cell edges are 7.782, 7.782 and 2.957 Å and the angles 90.00°, 90.00° and 90.00°. Symmetry generates all atoms from Hg at (0.000, 0.000, 0.000), Ge at (0.151, 0.349, 0.000) and Pd at (0.138, 0.638, 0.500).

---

Entry 2:
First-principles (GGA-PBE) data for crystalline HgGe2Pd2 at its relaxed geometry, as listed in Alexandria via LeMat-Bulk.

As for the density: 10.307 g/cm³. The calculation puts the energy above the most stable polymorph in this dataset at 0 meV per atom. As for the calculated formation energy: -0.9 eV/f.u. The calculation puts the total energy at -20.8 eV/f.u.

The structure belongs to space group P4/mbm (No. 127); the cell edges are 7.634, 7.634 and 3.089 Å and the angles 90.00°, 90.00° and 90.00°. Symmetry generates all atoms from Hg at (0.000, 0.000, 0.000), Ge at (0.150, 0.350, 0.500) and Pd at (0.140, 0.640, 0.000).

---

Entry 3:
First-principles (GGA-PBE) data for crystalline HgGePd3 at its relaxed geometry, as listed in Alexandria via LeMat-Bulk.

As for the density: 7.767 g/cm³. The calculation puts the energy above the most stable polymorph in this dataset at 1219 meV per atom. As for the calculated formation energy: 4.9 eV/f.u. The calculation puts the total energy at -15.6 eV/f.u.

The structure belongs to space group Pm-3m (No. 221); the cell edges are 5.022, 5.022 and 5.022 Å and the angles 90.00°, 90.00° and 90.00°. Symmetry generates all atoms from Hg at (0.000, 0.000, 0.000), Ge at (0.500, 0.500, 0.500) and Pd at (0.000, 0.000, 0.500).